1.
5
Lattice="4.644 0.000 0.000 0.000 4.644 0.000 0.000 0.000 4.644" Properties=species:S:1:pos:R:3 comment="RbCoH3 | Alexandria via LeMat-Bulk | PBE-GGA | optimized geometry" total_magnetization_mub_per_fu=3.005 volume_a3_per_cell=100 energy_ev_per_atom=-1.92 pbc="T T T"
Rb 0.000 0.000 0.000
Co 2.322 2.322 2.322
H 0.000 0.000 2.322
H 0.000 2.322 0.000
H 2.322 0.000 0.000


2.
12
Lattice="3.842 0.000 0.000 0.000 3.842 0.000 0.000 0.000 18.372" Properties=species:S:1:pos:R:3 comment="SmPAu | Alexandria via LeMat-Bulk | PBE-GGA | optimized geometry" total_magnetization_mub_per_fu=0.000 volume_a3_per_cell=271 energy_ev_per_atom=-5.31 e_form_ev_per_atom=-0.838 pbc="T T T"
Sm 0.000 0.000 2.149
Sm 0.000 0.000 16.223
Sm 1.921 1.921 7.037
Sm 1.921 1.921 11.336
P 0.000 0.000 8.002
P 0.000 0.000 10.370
P 1.921 1.921 1.184
P 1.921 1.921 17.188
Au 0.000 0.000 5.195
Au 0.000 0.000 13.178
Au 1.921 1.921 3.992
Au 1.921 1.921 14.381


3.
8
Lattice="3.176 0.000 0.000 0.000 4.633 0.000 0.000 0.000 7.499" Properties=species:S:1:pos:R:3 comment="Si2PRu | Alexandria via LeMat-Bulk | PBE-GGA | optimized geometry" formation_energy_uncorrected_mev_per_atom=125 total_magnetization_mub_per_fu=0.000 volume_a3_per_cell=110 energy_ev_per_atom=-6.26 pbc="T T T"
Si 0.000 0.000 1.741
Si 0.000 0.000 5.758
Si 1.588 2.316 2.009
Si 1.588 2.316 5.490
P 0.000 2.316 3.750
P 1.588 0.000 0.000
Ru 0.000 2.316 0.000
Ru 1.588 0.000 3.750


4.
5
Lattice="4.541 0.000 0.000 0.000 4.541 0.000 0.000 0.000 4.354" Properties=species:S:1:pos:R:3 comment="Mn2VPC | Alexandria via LeMat-Bulk | PBE-GGA | optimized geometry" total_magnetization_mub_per_fu=5.084 volume_a3_per_cell=90 energy_ev_per_atom=-6.53 e_form_ev_per_atom=1.885 pbc="T T T"
Mn 0.000 2.271 0.000
Mn 2.271 0.000 0.000
V 0.000 0.000 0.000
P 0.000 0.000 2.177
C 2.271 2.271 2.177


5.
8
Lattice="2.309 1.333 7.584 -2.309 1.333 7.584 0.000 -2.666 7.584" Properties=species:S:1:pos:R:3 comment="ErHf3Ru4 | Alexandria via LeMat-Bulk | PBE-GGA | optimized geometry" total_magnetization_mub_per_fu=0.000 volume_a3_per_cell=140 energy_ev_per_atom=-9.67 e_form_ev_per_atom=-0.731 pbc="T T T"
Er 0.000 0.000 0.000
Hf 0.000 0.000 5.664
Hf 0.000 0.000 11.375
Hf 0.000 0.000 17.087
Ru 0.000 0.000 2.902
Ru 0.000 0.000 8.604
Ru 0.000 0.000 14.147
Ru 0.000 0.000 19.849


6.
8
Lattice="3.947 0.000 0.000 0.000 3.947 0.000 0.000 0.000 8.003" Properties=species:S:1:pos:R:3 comment="ScZn2Ir | Alexandria via LeMat-Bulk | PBE-GGA | optimized geometry" total_magnetization_mub_per_fu=0.000 volume_a3_per_cell=125 energy_ev_per_atom=-4.97 e_form_ev_per_atom=-0.539 pbc="T T T"
Sc 0.000 0.000 0.000
Sc 1.974 1.974 4.002
Zn 0.000 1.974 2.001
Zn 0.000 1.974 6.002
Zn 1.974 0.000 2.001
Zn 1.974 0.000 6.002
Ir 0.000 0.000 4.002
Ir 1.974 1.974 0.000